Compound: Er4Ni
Source: Alexandria
Functional: PBE
Structure: optimized geometry

Cell: 5.249 5.249 5.249 Å, 90.00 90.00 90.00°
Fractional coordinates of all 5 atoms:
Er (0.000, 0.000, 0.000)
Er (0.000, 0.500, 0.500)
Er (0.500, 0.000, 0.500)
Er (0.500, 0.500, 0.000)
Ni (0.500, 0.500, 0.500)

Calculated values
energy relative to the lowest polymorph listed for this composition: 93 meV/atom
symmetry: Pm-3m, No. 221

---

Compound: ErNi4
Source: Alexandria
Functional: PBE
Structure: optimized geometry

Cell: 5.539 5.539 5.183 Å, 90.00 90.00 114.85°
Fractional coordinates of all 10 atoms:
Er (0.235, 0.765, 0.750)
Er (0.765, 0.235, 0.250)
Ni (0.084, 0.916, 0.250)
Ni (0.301, 0.301, 0.000)
Ni (0.301, 0.301, 0.500)
Ni (0.326, 0.674, 0.250)
Ni (0.674, 0.326, 0.750)
Ni (0.699, 0.699, 0.000)
Ni (0.699, 0.699, 0.500)
Ni (0.916, 0.084, 0.750)

Calculated values
symmetry: Cmcm, No. 63

---

Compound: ErNi6
Source: Alexandria
Functional: PBE
Structure: optimized geometry

Cell: 5.283 5.283 5.283 Å, 90.00 90.00 90.00°
Fractional coordinates of all 7 atoms:
Er (0.000, 0.000, 0.000)
Ni (0.197, 0.500, 0.500)
Ni (0.500, 0.197, 0.500)
Ni (0.500, 0.500, 0.197)
Ni (0.500, 0.500, 0.803)
Ni (0.500, 0.803, 0.500)
Ni (0.803, 0.500, 0.500)

Calculated values
energy relative to the lowest polymorph listed for this composition: 1166 meV/atom
symmetry: Pm-3m, No. 221

---

Compound: Er5Ni2
Source: Alexandria
Functional: PBE
Structure: optimized geometry

Cell: 8.640 8.640 6.787 Å, 95.89 95.89 42.80°
Fractional coordinates of all 14 atoms:
Er (0.066, 0.934, 0.750)
Er (0.150, 0.284, 0.311)
Er (0.284, 0.150, 0.811)
Er (0.295, 0.514, 0.078)
Er (0.486, 0.705, 0.422)
Er (0.514, 0.295, 0.578)
Er (0.705, 0.486, 0.922)
Er (0.716, 0.850, 0.189)
Er (0.850, 0.716, 0.689)
Er (0.934, 0.066, 0.250)
Ni (0.095, 0.685, 0.432)
Ni (0.315, 0.905, 0.068)
Ni (0.685, 0.095, 0.932)
Ni (0.905, 0.315, 0.568)

Calculated values
symmetry: C2/c, No. 15

---

| no. | N(E_F) (states/eV per atom) | raw total energy (Ha/atom) |
| --- | --- | --- |
| 1 | 1.81 | -0.178 |
| 2 | 1.34 | -0.211 |
| 3 | 1.12 | -0.171 |
| 4 | 1.21 | -0.191 |